Material: CsCrN2F
Method: DFT, PBE with a Hubbard U
State: optimized geometry Values from VASP.

```
&SYSTEM
  ibrav = 0, nat = 5, ntyp = 4
/
ATOMIC_SPECIES
Cs 132.91 Cs.upf
Cr 52.00 Cr.upf
N 14.01 N.upf
F 19.00 F.upf
CELL_PARAMETERS angstrom
4.490 0.000 0.000
0.000 4.490 0.000
0.000 0.000 5.055
ATOMIC_POSITIONS angstrom
Cs 0.000 0.000 0.000
Cr 2.245 2.245 2.527
N 0.000 2.245 0.000
N 2.245 0.000 0.000
F 0.000 0.000 2.527
```

Results
For the volume, the calculation gives 101.9 Å³/cell. The electronic total energy comes out at -3.697 eV/atom. The calculation puts the density at 3.78 Mg/m³.